[1]
The following is a PBE calculation of a geometry-optimized SrCa2PdPb structure, from Alexandria.

Fermi-level density of states (states/eV/cell): 2.9
E (eV per atom): -3.319

Cell lengths 5.5076, 5.5076, 5.8059 Å; angles 90.00, 90.00, 90.00 degrees
Space group P4/mmm (No. 123)
Inequivalent atoms, fractional coordinates:
Sr: 0.0000 0.0000 0.0000 [1 per cell]
Ca: 0.0000 0.5000 0.5000 [2 per cell]
Pd: 0.0000 0.0000 0.5000 [1 per cell]
Pb: 0.5000 0.5000 0.0000 [1 per cell]



[2]
The following is a PBE calculation of a geometry-optimized MgZrAgF2 structure, from Alexandria.

Fermi-level density of states (states/eV/cell): 2.8
ΔE_f (raw) (eV/atom): -1.54

Cell lengths 4.1745, 4.1745, 5.8925 Å; angles 90.00, 90.00, 90.00 degrees
Space group P4/mmm (No. 123)
Inequivalent atoms, fractional coordinates:
Mg: 0.0000 0.0000 0.0000 [1 per cell]
Zr: 0.5000 0.5000 0.5000 [1 per cell]
Ag: 0.5000 0.5000 0.0000 [1 per cell]
F: 0.0000 0.5000 0.5000 [2 per cell]



[3]
The following is a PBE calculation of a geometry-optimized TaFeSeBr2 structure, from Alexandria.

Fermi-level density of states (states/eV/cell): 7.8
E above lowest polymorph (meV per atom): 494
ΔE_f (raw) (eV/atom): 0.98

Cell lengths 4.6385, 4.6385, 4.7513 Å; angles 90.00, 90.00, 90.00 degrees
Space group P4/mmm (No. 123)
Inequivalent atoms, fractional coordinates:
Ta: 0.0000 0.0000 0.0000 [1 per cell]
Fe: 0.5000 0.5000 0.5000 [1 per cell]
Se: 0.5000 0.5000 0.0000 [1 per cell]
Br: 0.0000 0.5000 0.5000 [2 per cell]